First-principles (GGA-PBE) data for an optimized crystal structure of Ho8GaSi3Se4, as listed in Alexandria via LeMat-Bulk.

Summary:
The calculation puts the formation energy (no corrections) at -1.24 eV/atom. As for the magnetization: 0.000 μB/atom. The calculation puts the calculated volume at 389.99 Å³ per cell.

The structure in POSCAR format:
```
Ho8GaSi3Se4
1.0
-1.5905 -7.6660 -2.1036
6.0089 -2.6399 5.0772
-5.9063 4.6998 2.9597
Se Ho Ga Si
4 8 1 3
Cartesian
-2.9531 2.3499 1.4798 Se
-0.7952 -3.8330 -1.0518 Se
-3.7484 -1.4831 0.4280 Se
0.0000 0.0000 0.0000 Se
1.1147 -1.5259 4.7180 Ho
-2.5832 -2.9902 5.1437 Ho
-1.8264 -0.2594 2.3264 Ho
0.3108 -6.3977 -0.2482 Ho
0.3386 -5.3466 3.6069 Ho
1.0954 -2.6159 0.7896 Ho
-1.7986 0.7916 6.1814 Ho
-2.6026 -4.0802 1.2153 Ho
3.0045 -1.3199 2.5386 Ga
-0.7439 -2.8030 2.9666 Si
0.0513 1.0300 4.0184 Si
2.2092 -5.1530 1.4868 Si
```



First-principles (GGA-PBE) data for an optimized crystal structure of Ho6GaTe3Se2, as listed in Alexandria via LeMat-Bulk.

Summary:
The calculation puts the formation energy (no corrections) at -1.37 eV/atom. As for the magnetization: 0.000 μB/atom. The calculation puts the calculated volume at 320.87 Å³ per cell.

The structure in POSCAR format:
```
Ho6GaTe3Se2
1.0
7.2503 0.0062 0.0032
-3.6180 6.2831 0.0032
-1.2084 -2.0923 7.0380
Se Ho Te Ga
2 6 3 1
Cartesian
3.6189 2.1035 0.0032 Se
0.0134 4.1858 0.0032 Se
3.5979 2.1605 5.4967 Ho
-1.1739 2.0365 1.5477 Ho
2.4590 4.2578 1.5666 Ho
-0.0351 -0.0608 5.4779 Ho
0.0733 4.1961 5.4967 Ho
2.3506 0.0010 1.5477 Ho
-2.3725 4.1687 3.5222 Te
4.7965 0.0283 3.5222 Te
1.2120 2.0985 3.5222 Te
0.0000 0.0000 0.0000 Ga
```



First-principles (GGA-PBE) data for an optimized crystal structure of Ho8GaTe4Se3, as listed in Alexandria via LeMat-Bulk.

Summary:
The calculation puts the formation energy (no corrections) at -1.40 eV/atom. As for the magnetization: 0.000 μB/atom. The calculation puts the calculated volume at 425.40 Å³ per cell.

The structure in POSCAR format:
```
Ho8GaTe4Se3
1.0
-4.2361 -3.2476 6.4310
-4.5187 -4.8075 -5.4043
8.3464 -0.4175 -0.1436
Se Te Ho Ga
3 4 8 1
Cartesian
1.9138 -2.6125 -2.7740 Se
-4.3774 -4.0275 0.5134 Se
-0.2042 -4.2363 0.4415 Se
0.0000 0.0000 0.0000 Te
4.1732 -0.2087 -0.0718 Te
-2.1181 -1.6238 3.2155 Te
2.0551 -1.8325 3.1437 Te
-2.3808 -6.0452 0.8097 Ho
1.9723 -2.4273 0.0734 Ho
-4.3704 -3.8419 3.3946 Ho
-2.1997 -2.1777 0.0991 Ho
3.9620 -4.6307 -2.5116 Ho
-0.0933 -4.0558 3.3210 Ho
1.7912 -6.2949 0.7839 Ho
-0.3151 -4.4167 -2.4380 Ho
-2.2594 -2.4037 -2.7021 Ga
```